(1)
The following is a PBE-GGA calculation of a relaxed structure of Ba2CoWSe, from the Alexandria database.

Unit cell a=6.2826 b=4.3637 c=6.2826 alpha=90.00 beta=90.00 gamma=90.00
Closest atoms and distances in Å follow each position.
Fractional positions:
1 W 0.5000 0.5000 0.5000  8 Ba 3.82
2 Co 0.0000 0.5000 0.0000  2 Se 2.18
3 Ba 0.5000 0.0000 0.0000  2 Se 3.14
4 Se 0.0000 0.0000 0.0000  2 Co 2.18
5 Ba 0.0000 0.0000 0.5000  2 Se 3.14

## Properties
For the uncorrected formation energy, the calculation gives 0.705 eV/atom. For the total magnetization, the calculation gives 5.27 μB per cell. As for the space-group type: No. 123. The calculated total energy is -23.86 eV/f.u.

---

(2)
The following is a PBE-GGA calculation of a relaxed structure of BaCoSi2, from the Alexandria database.

Unit cell a=4.8627 b=4.8627 c=4.8627 alpha=60.00 beta=60.00 gamma=60.00
Closest atoms and distances in Å follow each position.
Fractional positions:
1 Co 0.0000 0.0000 0.0000  8 Si 2.98
2 Ba 0.5000 0.5000 0.5000  8 Si 2.98
3 Si 0.7500 0.7500 0.7500  4 Ba 2.98, 4 Co 2.98
4 Si 0.2500 0.2500 0.2500  4 Ba 2.98, 4 Co 2.98

## Properties
For the uncorrected formation energy, the calculation gives 0.603 eV/atom. For the total magnetization, the calculation gives 1.01 μB per cell. As for the space-group type: No. 225. The calculated total energy is -17.46 eV/f.u.